Density functional theory data (PBE) for an optimized crystal structure of YHfMg14.

Cell and atoms, written as CIF:
```
data_YHfMg14
_cell_length_a 6.5195
_cell_length_b 6.5195
_cell_length_c 10.2228
_cell_angle_alpha 90.00
_cell_angle_beta 90.00
_cell_angle_gamma 120.00
_space_group_name_H-M_alt 'P -6 m 2'
_space_group_IT_number 187
_space_group_name_Hall 'P -6 2'
loop_
_atom_site_label
_atom_site_type_symbol
_atom_site_fract_x
_atom_site_fract_y
_atom_site_fract_z
Y1 Y 0.0000 0.0000 0.0000
Hf1 Hf 0.0000 0.0000 0.5000
Mg1 Mg 0.0006 0.5003 0.5000
Mg2 Mg 0.0104 0.5052 0.0000
Mg3 Mg 0.1659 0.3318 0.2569
Mg4 Mg 0.6667 0.3333 0.2452
```

Values from the calculation:
Polymorph energy (0 for the lowest one): 5 meV/atom
Crystal system: hexagonal
E: -2.3742 eV/atom